Entry 1:
A plane-wave DFT calculation with PBE was carried out for a relaxed SrSb2As crystal.

The structure in extended XYZ format:
```
4
Lattice="2.071 1.196 8.253 -2.071 1.196 8.253 0.000 -2.392 8.253" Properties=species:S:1:pos:R:3 pbc="T T T"
Sr 0.000 0.000 0.000
Sb 0.000 0.000 5.818
Sb 0.000 0.000 18.942
As 0.000 0.000 12.380
```

Output
For the calculated total energy, the calculation gives -15.53 eV per cell. The uncorrected formation energy comes out at -0.238 eV per atom. As for the space group: R-3m, No. 166.

=====

Entry 2:
A plane-wave DFT calculation with PBE was carried out for a relaxed CaTlCl2 crystal.

The structure in extended XYZ format:
```
4
Lattice="4.014 0.000 0.000 0.000 4.460 0.000 0.000 0.000 6.154" Properties=species:S:1:pos:R:3 pbc="T T T"
Ca 0.000 0.000 0.000
Tl 2.007 0.000 3.077
Cl 0.000 2.230 3.077
Cl 2.007 2.230 0.000
```

Output
The value obtained for the energy above the most stable polymorph in this dataset is 0.413 eV per atom. For the calculated total energy, the calculation gives -12.88 eV per cell. The uncorrected formation energy comes out at -1.205 eV per atom. As for the space group: Pmmm, No. 47.

=====

Entry 3:
A plane-wave DFT calculation with PBE was carried out for a relaxed TaCoAg3 crystal.

The structure in extended XYZ format:
```
5
Lattice="4.630 0.000 0.000 0.000 4.630 0.000 0.000 0.000 4.630" Properties=species:S:1:pos:R:3 pbc="T T T"
Ta 0.000 0.000 0.000
Co 2.315 2.315 2.315
Ag 0.000 2.315 2.315
Ag 2.315 0.000 2.315
Ag 2.315 2.315 0.000
```

Output
The value obtained for the energy above the most stable polymorph in this dataset is 0.000 eV per atom. For the calculated total energy, the calculation gives -19.82 eV per cell. The formation energy is 1.54 eV/atom. As for the space group: Pm-3m, No. 221.